(1)
# PBE SiHgPb2, relaxed
data_SiHgPb2
_cell_length_a 7.7633
_cell_length_b 3.3272
_cell_length_c 8.6533
_cell_angle_alpha 90.00
_cell_angle_beta 95.83
_cell_angle_gamma 90.00
_space_group_name_H-M_alt 'C 1 2/m 1'
_space_group_IT_number 12
_space_group_name_Hall '-C 2y'
loop_
_atom_site_label
_atom_site_type_symbol
_atom_site_fract_x
_atom_site_fract_y
_atom_site_fract_z
Si1 Si 0.0000 0.0000 0.0000
Hg1 Hg 0.0000 0.5000 0.5000
Pb1 Pb 0.2381 0.5000 0.2117
# mass density	9.6	g/cm3
# E above lowest polymorph	0.7	kJ per mole of atoms
# D(E_F)	0.300	states/eV per atom

(2)
# PBE Si2HgPb, relaxed
data_Si2HgPb
_cell_length_a 3.4931
_cell_length_b 3.4393
_cell_length_c 8.1035
_cell_angle_alpha 90.00
_cell_angle_beta 101.68
_cell_angle_gamma 90.00
_space_group_name_H-M_alt 'P 1 m 1'
_space_group_IT_number 6
_space_group_name_Hall 'P -2y'
loop_
_atom_site_label
_atom_site_type_symbol
_atom_site_fract_x
_atom_site_fract_y
_atom_site_fract_z
Si1 Si 0.0000 0.0000 0.0000
Si2 Si 0.4737 0.5000 0.9433
Hg1 Hg 0.2750 0.5000 0.6093
Pb1 Pb 0.6587 0.0000 0.3063
# mass density	8.1	g/cm3
# E above lowest polymorph	5.6	kJ per mole of atoms
# D(E_F)	0.435	states/eV per atom

(3)
# PBE SiHg4Pb, relaxed
data_SiHg4Pb
_cell_length_a 8.4771
_cell_length_b 8.4771
_cell_length_c 8.4771
_cell_angle_alpha 90.00
_cell_angle_beta 90.00
_cell_angle_gamma 90.00
_space_group_name_H-M_alt 'F -4 3 m'
_space_group_IT_number 216
_space_group_name_Hall 'F -4 2 3'
loop_
_atom_site_label
_atom_site_type_symbol
_atom_site_fract_x
_atom_site_fract_y
_atom_site_fract_z
Si1 Si 0.0000 0.0000 0.0000
Hg1 Hg 0.1253 0.1253 0.6253
Pb1 Pb 0.2500 0.2500 0.2500
# mass density	11.3	g/cm3
# D(E_F)	0.428	states/eV per atom

(4)
# PBE SiHgPb2, relaxed
data_SiHgPb2
_cell_length_a 7.2953
_cell_length_b 8.3886
_cell_length_c 3.4292
_cell_angle_alpha 90.00
_cell_angle_beta 90.34
_cell_angle_gamma 90.00
_space_group_name_H-M_alt 'C 1 2/m 1'
_space_group_IT_number 12
_space_group_name_Hall '-C 2y'
loop_
_atom_site_label
_atom_site_type_symbol
_atom_site_fract_x
_atom_site_fract_y
_atom_site_fract_z
Si1 Si 0.0000 0.0000 0.0000
Hg1 Hg 0.0000 0.5000 0.0000
Pb1 Pb 0.2500 0.2500 0.5000
# mass density	10.2	g/cm3
# E above lowest polymorph	7.1	kJ per mole of atoms
# D(E_F)	0.437	states/eV per atom

(5)
# PBE SiHg2Pb2, relaxed
data_SiHg2Pb2
_cell_length_a 7.1147
_cell_length_b 7.1147
_cell_length_c 5.2773
_cell_angle_alpha 90.00
_cell_angle_beta 90.00
_cell_angle_gamma 90.00
_space_group_name_H-M_alt 'P 4/m b m'
_space_group_IT_number 127
_space_group_name_Hall '-P 4 2ab'
loop_
_atom_site_label
_atom_site_type_symbol
_atom_site_fract_x
_atom_site_fract_y
_atom_site_fract_z
Si1 Si 0.0000 0.0000 0.0000
Hg1 Hg 0.1457 0.3543 0.0000
Pb1 Pb 0.1751 0.6751 0.5000
# mass density	10.5	g/cm3
# E above lowest polymorph	0.0	kJ per mole of atoms
# D(E_F)	0.668	states/eV per atom

(6)
# PBE SiHgPb2, relaxed
data_SiHgPb2
_cell_length_a 3.5084
_cell_length_b 5.4353
_cell_length_c 10.9681
_cell_angle_alpha 90.00
_cell_angle_beta 90.00
_cell_angle_gamma 90.00
_space_group_name_H-M_alt 'I m m 2'
_space_group_IT_number 44
_space_group_name_Hall 'I 2 -2'
loop_
_atom_site_label
_atom_site_type_symbol
_atom_site_fract_x
_atom_site_fract_y
_atom_site_fract_z
Si1 Si 0.0000 0.0000 0.0000
Hg1 Hg 0.0000 0.5000 0.7069
Pb1 Pb 0.0000 0.0000 0.4809
Pb2 Pb 0.0000 0.5000 0.2743
# mass density	10.2	g/cm3
# E above lowest polymorph	4.6	kJ per mole of atoms
# D(E_F)	0.532	states/eV per atom

(7)
# PBE SiHgPb, relaxed
data_SiHgPb
_cell_length_a 4.4496
_cell_length_b 4.4496
_cell_length_c 4.5002
_cell_angle_alpha 90.00
_cell_angle_beta 90.00
_cell_angle_gamma 120.00
_space_group_name_H-M_alt 'P 3 m 1'
_space_group_IT_number 156
_space_group_name_Hall 'P 3 -2"'
loop_
_atom_site_label
_atom_site_type_symbol
_atom_site_fract_x
_atom_site_fract_y
_atom_site_fract_z
Si1 Si 0.0000 0.0000 0.0000
Hg1 Hg 0.6667 0.3333 0.0514
Pb1 Pb 0.3333 0.6667 0.5295
# mass density	9.4	g/cm3
# E above lowest polymorph	0.7	kJ per mole of atoms
# D(E_F)	0.242	states/eV per atom

(8)
# PBE SiHgPb2, relaxed
data_SiHgPb2
_cell_length_a 4.8804
_cell_length_b 4.8804
_cell_length_c 4.4042
_cell_angle_alpha 90.00
_cell_angle_beta 90.00
_cell_angle_gamma 90.00
_space_group_name_H-M_alt 'P 4/m m m'
_space_group_IT_number 123
_space_group_name_Hall '-P 4 2'
loop_
_atom_site_label
_atom_site_type_symbol
_atom_site_fract_x
_atom_site_fract_y
_atom_site_fract_z
Si1 Si 0.0000 0.0000 0.0000
Hg1 Hg 0.5000 0.5000 0.0000
Pb1 Pb 0.0000 0.5000 0.5000
# mass density	10.2	g/cm3
# E above lowest polymorph	7.5	kJ per mole of atoms
# D(E_F)	0.380	states/eV per atom

(9)
# PBE SiHgPb2, relaxed
data_SiHgPb2
_cell_length_a 3.6685
_cell_length_b 3.8865
_cell_length_c 7.3688
_cell_angle_alpha 90.00
_cell_angle_beta 90.00
_cell_angle_gamma 90.00
_space_group_name_H-M_alt 'P m m 2'
_space_group_IT_number 25
_space_group_name_Hall 'P 2 -2'
loop_
_atom_site_label
_atom_site_type_symbol
_atom_site_fract_x
_atom_site_fract_y
_atom_site_fract_z
Si1 Si 0.0000 0.0000 0.0000
Hg1 Hg 0.5000 0.5000 0.1964
Pb1 Pb 0.0000 0.0000 0.4357
Pb2 Pb 0.5000 0.5000 0.7781
# mass density	10.2	g/cm3
# E above lowest polymorph	5.8	kJ per mole of atoms
# D(E_F)	0.592	states/eV per atom

(10)
# PBE Si4HgPb, relaxed
data_Si4HgPb
_cell_length_a 7.7941
_cell_length_b 7.7941
_cell_length_c 7.7941
_cell_angle_alpha 90.00
_cell_angle_beta 90.00
_cell_angle_gamma 90.00
_space_group_name_H-M_alt 'F -4 3 m'
_space_group_IT_number 216
_space_group_name_Hall 'F -4 2 3'
loop_
_atom_site_label
_atom_site_type_symbol
_atom_site_fract_x
_atom_site_fract_y
_atom_site_fract_z
Si1 Si 0.1222 0.1222 0.1222
Hg1 Hg 0.2500 0.2500 0.7500
Pb1 Pb 0.0000 0.0000 0.5000
# mass density	7.3	g/cm3
# D(E_F)	0.767	states/eV per atom

(11)
# PBE SiHgPb2, relaxed
data_SiHgPb2
_cell_length_a 3.4499
_cell_length_b 4.2258
_cell_length_c 7.4756
_cell_angle_alpha 90.00
_cell_angle_beta 102.98
_cell_angle_gamma 90.00
_space_group_name_H-M_alt 'P 1 m 1'
_space_group_IT_number 6
_space_group_name_Hall 'P -2y'
loop_
_atom_site_label
_atom_site_type_symbol
_atom_site_fract_x
_atom_site_fract_y
_atom_site_fract_z
Si1 Si 0.0000 0.0000 0.0000
Hg1 Hg 0.1377 0.5000 0.2420
Pb1 Pb 0.4043 0.5000 0.8045
Pb2 Pb 0.7546 0.0000 0.4925
# mass density	10.1	g/cm3
# E above lowest polymorph	4.3	kJ per mole of atoms
# D(E_F)	0.339	states/eV per atom

(12)
# PBE SiSnHg2Pb, relaxed
data_SiSnHg2Pb
_cell_length_a 4.9964
_cell_length_b 4.9964
_cell_length_c 5.8864
_cell_angle_alpha 90.00
_cell_angle_beta 90.00
_cell_angle_gamma 90.00
_space_group_name_H-M_alt 'P 4/m m m'
_space_group_IT_number 123
_space_group_name_Hall '-P 4 2'
loop_
_atom_site_label
_atom_site_type_symbol
_atom_site_fract_x
_atom_site_fract_y
_atom_site_fract_z
Si1 Si 0.0000 0.0000 0.0000
Sn1 Sn 0.5000 0.5000 0.5000
Hg1 Hg 0.0000 0.5000 0.0000
Pb1 Pb 0.0000 0.0000 0.5000
# mass density	8.5	g/cm3
# D(E_F)	0.880	states/eV per atom

Table of formation energy without anion corrections (eV per atom), in record order: 0.2562, 0.2731, 0.3998, 0.3226, 0.2781, 0.2964, 0.3395, 0.3267, 0.3086, 0.5407, 0.2936, 0.4035